No. 1
# TaAg2

A geometry-optimized TaAg2 structure (PBE-GGA, the Alexandria database).

Unit cell a=4.7127 b=4.7127 c=2.7400 alpha=90.00 beta=90.00 gamma=120.00
With the nearest neighbours (Å) after each atom.
Atoms (fractional coordinates):
Ta (0.0000, 0.0000, 0.0000)  2 Ta 2.74, 12 Ag 3.05
Ag (0.3333, 0.6667, 0.5000)  5 Ag 2.72-2.74, 6 Ta 3.05
Ag (0.6667, 0.3333, 0.5000)  5 Ag 2.72-2.74, 6 Ta 3.05

For the formation energy, the calculation gives 1.1 eV per formula unit. Its total magnetic moment is 0.0 μB/f.u. As for the total energy: -16.5 eV/f.u.


No. 2
# Ta3TcAg

A geometry-optimized Ta3TcAg structure (PBE-GGA, the Alexandria database).

Unit cell a=4.8007 b=4.8007 c=4.8007 alpha=90.00 beta=90.00 gamma=90.00
With the nearest neighbours (Å) after each atom.
Atoms (fractional coordinates):
Ta (0.0000, 0.0000, 0.5000)  2 Tc 2.40
Ta (0.0000, 0.5000, 0.0000)  2 Tc 2.40
Ta (0.5000, 0.0000, 0.0000)  2 Tc 2.40
Tc (0.0000, 0.0000, 0.0000)  6 Ta 2.40
Ag (0.5000, 0.5000, 0.5000)  12 Ta 3.39

For the formation energy, the calculation gives 6.0 eV per formula unit. For the distance to the lowest polymorph of the same formula, the calculation gives 0.0 meV per atom. Its total magnetic moment is 0.0 μB/f.u. As for the total energy: -42.8 eV/f.u.


No. 3
# TaTcAg4

A geometry-optimized TaTcAg4 structure (PBE-GGA, the Alexandria database).

Unit cell a=5.2866 b=5.2866 c=5.2866 alpha=60.00 beta=60.00 gamma=60.00
With the nearest neighbours (Å) after each atom.
Atoms (fractional coordinates):
Ta (0.0000, 0.0000, 0.0000)  12 Ag 3.10, 4 Tc 3.24
Tc (0.2500, 0.2500, 0.2500)  12 Ag 3.10, 4 Ta 3.24
Ag (0.1250, 0.6250, 0.6250)  6 Ag 2.64
Ag (0.6250, 0.1250, 0.6250)  6 Ag 2.64
Ag (0.6250, 0.6250, 0.1250)  6 Ag 2.64
Ag (0.6250, 0.6250, 0.6250)  6 Ag 2.64

For the formation energy, the calculation gives 4.2 eV per formula unit. Its total magnetic moment is 0.0 μB/f.u. As for the total energy: -29.4 eV/f.u.


No. 4
# Ta4TcAg

A geometry-optimized Ta4TcAg structure (PBE-GGA, the Alexandria database).

Unit cell a=5.3789 b=5.3789 c=5.3789 alpha=60.00 beta=60.00 gamma=60.00
With the nearest neighbours (Å) after each atom.
Atoms (fractional coordinates):
Ta (0.1235, 0.1235, 0.1235)  6 Ta 2.66-2.72
Ta (0.1235, 0.1235, 0.6295)  6 Ta 2.66-2.72
Ta (0.1235, 0.6295, 0.1235)  6 Ta 2.66-2.72
Ta (0.6295, 0.1235, 0.1235)  6 Ta 2.66-2.72
Tc (0.7500, 0.7500, 0.7500)  12 Ta 3.15, 4 Ag 3.29
Ag (0.5000, 0.5000, 0.5000)  12 Ta 3.16, 4 Tc 3.29

For the formation energy, the calculation gives 3.1 eV per formula unit. Its total magnetic moment is 0.0 μB/f.u. As for the total energy: -57.6 eV/f.u.


No. 5
# TaTcAg

A geometry-optimized TaTcAg structure (PBE-GGA, the Alexandria database).

Unit cell a=4.6142 b=4.6142 c=2.7048 alpha=90.00 beta=90.00 gamma=120.00
With the nearest neighbours (Å) after each atom.
Atoms (fractional coordinates):
Ta (0.0000, 0.0000, 0.0000)  2 Ta 2.70, 3 Tc 2.77, 3 Ag 2.82
Tc (0.6667, 0.3333, 0.2837)  2 Tc 2.70, 3 Ta 2.77, 3 Ag 2.85
Ag (0.3333, 0.6667, 0.6592)  2 Ag 2.70, 3 Ta 2.82, 3 Tc 2.85

For the formation energy, the calculation gives 0.8 eV per formula unit. For the distance to the lowest polymorph of the same formula, the calculation gives 51.7 meV per atom. Its total magnetic moment is 0.0 μB/f.u. As for the total energy: -24.3 eV/f.u.


No. 6
# TaTcAg3

A geometry-optimized TaTcAg3 structure (PBE-GGA, the Alexandria database).

Unit cell a=4.8649 b=4.8649 c=4.8649 alpha=90.00 beta=90.00 gamma=90.00
With the nearest neighbours (Å) after each atom.
Atoms (fractional coordinates):
Ta (0.0000, 0.0000, 0.0000)  12 Ag 3.44
Tc (0.5000, 0.5000, 0.5000)  6 Ag 2.43
Ag (0.0000, 0.5000, 0.5000)  2 Tc 2.43
Ag (0.5000, 0.0000, 0.5000)  2 Tc 2.43
Ag (0.5000, 0.5000, 0.0000)  2 Tc 2.43

For the formation energy, the calculation gives 10.6 eV per formula unit. For the distance to the lowest polymorph of the same formula, the calculation gives 34.6 meV per atom. Its total magnetic moment is 1.4 μB/f.u. As for the total energy: -20.2 eV/f.u.


No. 7
# TaTcAg

A geometry-optimized TaTcAg structure (PBE-GGA, the Alexandria database).

Unit cell a=2.6598 b=4.3437 c=8.6286 alpha=90.00 beta=90.00 gamma=90.00
With the nearest neighbours (Å) after each atom.
Atoms (fractional coordinates):
Ta (0.0000, 0.0000, 0.0000)  2 Ta 2.66, 5 Ag 2.84-2.94, 5 Tc 2.89-2.92
Ta (0.5000, 0.5000, 0.5000)  2 Ta 2.66, 5 Ag 2.84-2.94, 5 Tc 2.89-2.92
Tc (0.0000, 0.0000, 0.6647)  2 Tc 2.66, 5 Ag 2.89-2.92, 5 Ta 2.89-2.92
Tc (0.5000, 0.5000, 0.1647)  2 Tc 2.66, 5 Ag 2.89-2.92, 5 Ta 2.89-2.92
Ag (0.0000, 0.0000, 0.3295)  2 Ag 2.66, 5 Ta 2.84-2.94, 5 Tc 2.89-2.92
Ag (0.5000, 0.5000, 0.8295)  2 Ag 2.66, 5 Ta 2.84-2.94, 5 Tc 2.89-2.92

For the formation energy, the calculation gives 0.8 eV per formula unit. For the distance to the lowest polymorph of the same formula, the calculation gives 73.7 meV per atom. Its total magnetic moment is 0.0 μB/f.u. As for the total energy: -24.2 eV/f.u.


No. 8
# TaTcAg3

A geometry-optimized TaTcAg3 structure (PBE-GGA, the Alexandria database).

Unit cell a=5.0723 b=5.0723 c=5.0723 alpha=90.00 beta=90.00 gamma=90.00
With the nearest neighbours (Å) after each atom.
Atoms (fractional coordinates):
Ta (0.0000, 0.0000, 0.0000)  6 Ag 2.54
Tc (0.5000, 0.5000, 0.5000)  12 Ag 3.59
Ag (0.0000, 0.0000, 0.5000)  2 Ta 2.54
Ag (0.0000, 0.5000, 0.0000)  2 Ta 2.54
Ag (0.5000, 0.0000, 0.0000)  2 Ta 2.54

For the formation energy, the calculation gives 10.4 eV per formula unit. For the distance to the lowest polymorph of the same formula, the calculation gives 0.0 meV per atom. Its total magnetic moment is 4.3 μB/f.u. As for the total energy: -20.4 eV/f.u.


No. 9
# TaTcAg

A geometry-optimized TaTcAg structure (PBE-GGA, the Alexandria database).

Unit cell a=3.2753 b=4.6473 c=13.5156 alpha=90.00 beta=90.00 gamma=90.00
With the nearest neighbours (Å) after each atom.
Atoms (fractional coordinates):
Ta (0.0000, 0.0000, 0.0000)  2 Tc 2.58, 4 Ta 2.84
Ta (0.0000, 0.5000, 0.5000)  2 Tc 2.58, 4 Ta 2.84
Ta (0.5000, 0.0000, 0.5000)  2 Tc 2.58, 4 Ta 2.84
Ta (0.5000, 0.5000, 0.0000)  2 Tc 2.58, 4 Ta 2.84
Tc (0.0000, 0.0000, 0.6471)  2 Ta 2.58, 4 Tc 2.84, 2 Ag 2.88
Tc (0.0000, 0.5000, 0.1471)  2 Ta 2.58, 4 Tc 2.84, 2 Ag 2.88
Tc (0.5000, 0.0000, 0.1471)  2 Ta 2.58, 4 Tc 2.84, 2 Ag 2.88
Tc (0.5000, 0.5000, 0.6471)  2 Ta 2.58, 4 Tc 2.84, 2 Ag 2.88
Ag (0.0000, 0.0000, 0.3227)  4 Ag 2.84, 2 Tc 2.88, 2 Ta 2.90
Ag (0.0000, 0.5000, 0.8227)  4 Ag 2.84, 2 Tc 2.88, 2 Ta 2.90
Ag (0.5000, 0.0000, 0.8227)  4 Ag 2.84, 2 Tc 2.88, 2 Ta 2.90
Ag (0.5000, 0.5000, 0.3227)  4 Ag 2.84, 2 Tc 2.88, 2 Ta 2.90

For the formation energy, the calculation gives 0.7 eV per formula unit. For the distance to the lowest polymorph of the same formula, the calculation gives 24.5 meV per atom. Its total magnetic moment is 0.0 μB/f.u. As for the total energy: -24.4 eV/f.u.


No. 10
# TaTcAg

A geometry-optimized TaTcAg structure (PBE-GGA, the Alexandria database).

Unit cell a=3.2875 b=3.2875 c=9.5171 alpha=90.00 beta=90.00 gamma=90.00
With the nearest neighbours (Å) after each atom.
Atoms (fractional coordinates):
Ta (0.0000, 0.0000, 0.0000)  4 Tc 2.64, 4 Ag 2.91
Ta (0.5000, 0.5000, 0.5000)  4 Tc 2.64, 4 Ag 2.91
Tc (0.0000, 0.0000, 0.6314)  4 Ta 2.64, 4 Ag 2.91
Tc (0.5000, 0.5000, 0.1314)  4 Ta 2.64, 4 Ag 2.91
Ag (0.0000, 0.0000, 0.3155)  5 Tc 2.91-3.01, 5 Ta 2.91-3.00
Ag (0.5000, 0.5000, 0.8155)  5 Tc 2.91-3.01, 5 Ta 2.91-3.00

For the formation energy, the calculation gives 0.6 eV per formula unit. For the distance to the lowest polymorph of the same formula, the calculation gives 0.0 meV per atom. Its total magnetic moment is 0.0 μB/f.u. As for the total energy: -24.5 eV/f.u.